w.
Ag15As: relaxed, PBE-GGA. Values from VASP.

Quantum ESPRESSO input file:
```
&SYSTEM
  ibrav = 0, nat = 32, ntyp = 2
/
ATOMIC_SPECIES
Ag 107.87 Ag.upf
As 74.92 As.upf
CELL_PARAMETERS angstrom
5.785 0.000 0.000
0.000 4.101 0.000
-0.067 0.000 33.318
ATOMIC_POSITIONS crystal
Ag 0.123 0.250 0.168
Ag 0.123 0.250 0.699
Ag 0.124 0.250 0.256
Ag 0.125 0.250 0.345
Ag 0.125 0.250 0.434
Ag 0.125 0.250 0.522
Ag 0.126 0.250 0.610
Ag 0.128 0.250 0.791
Ag 0.372 0.750 0.301
Ag 0.375 0.750 0.209
Ag 0.375 0.750 0.390
Ag 0.375 0.750 0.478
Ag 0.375 0.750 0.566
Ag 0.375 0.750 0.655
Ag 0.376 0.750 0.743
Ag 0.624 0.250 0.257
Ag 0.625 0.250 0.345
Ag 0.625 0.250 0.434
Ag 0.625 0.250 0.522
Ag 0.625 0.250 0.610
Ag 0.625 0.250 0.791
Ag 0.628 0.250 0.699
Ag 0.872 0.750 0.209
Ag 0.874 0.750 0.390
Ag 0.875 0.750 0.478
Ag 0.875 0.750 0.566
Ag 0.875 0.750 0.655
Ag 0.876 0.750 0.744
Ag 0.877 0.750 0.301
Ag 0.877 0.750 0.832
As 0.377 0.750 0.826
As 0.623 0.250 0.174
```

Results
As for the volume: 790.5 Å³ per cell. Its crystal system is monoclinic.

---

x.
Ag15As: relaxed, PBE-GGA. Values from VASP.

Quantum ESPRESSO input file:
```
&SYSTEM
  ibrav = 0, nat = 32, ntyp = 2
/
ATOMIC_SPECIES
Ag 107.87 Ag.upf
As 74.92 As.upf
CELL_PARAMETERS angstrom
5.009 0.000 0.000
0.000 35.052 0.000
-1.658 0.000 4.719
ATOMIC_POSITIONS crystal
Ag 0.000 0.021 0.250
Ag 0.000 0.064 0.750
Ag 0.000 0.106 0.250
Ag 0.000 0.149 0.750
Ag 0.000 0.192 0.250
Ag 0.000 0.234 0.750
Ag 0.000 0.280 0.250
Ag 0.000 0.320 0.750
Ag 0.000 0.680 0.250
Ag 0.000 0.720 0.750
Ag 0.000 0.766 0.250
Ag 0.000 0.808 0.750
Ag 0.000 0.851 0.250
Ag 0.000 0.894 0.750
Ag 0.000 0.936 0.250
Ag 0.000 0.979 0.750
Ag 0.500 0.021 0.750
Ag 0.500 0.064 0.250
Ag 0.500 0.106 0.750
Ag 0.500 0.149 0.250
Ag 0.500 0.192 0.750
Ag 0.500 0.235 0.250
Ag 0.500 0.280 0.750
Ag 0.500 0.720 0.250
Ag 0.500 0.765 0.750
Ag 0.500 0.808 0.250
Ag 0.500 0.851 0.750
Ag 0.500 0.894 0.250
Ag 0.500 0.936 0.750
Ag 0.500 0.979 0.250
As 0.500 0.314 0.250
As 0.500 0.686 0.750
```

Results
As for the volume: 828.5 Å³ per cell. Its crystal system is monoclinic.

---

Verdict on stability: w comes out at the bottom.

---

w.
HfFeNiB: relaxed, PBE-GGA. Values from VASP.

Quantum ESPRESSO input file:
```
&SYSTEM
  ibrav = 0, nat = 4, ntyp = 4
/
ATOMIC_SPECIES
Hf 178.49 Hf.upf
Fe 55.84 Fe.upf
Ni 58.69 Ni.upf
B 10.81 B.upf
CELL_PARAMETERS angstrom
0.000 2.907 2.907
2.907 0.000 2.907
2.907 2.907 0.000
ATOMIC_POSITIONS crystal
Hf 0.000 0.000 0.000
Fe 0.500 0.500 0.500
Ni 0.750 0.750 0.750
B 0.250 0.250 0.250
```

Results
As for the volume: 49.1 Å³ per cell. The total magnetization is 0.556 μB/atom. Its crystal system is cubic.

---

x.
HfFeNiB: relaxed, PBE-GGA. Values from VASP.

Quantum ESPRESSO input file:
```
&SYSTEM
  ibrav = 0, nat = 4, ntyp = 4
/
ATOMIC_SPECIES
Hf 178.49 Hf.upf
Fe 55.84 Fe.upf
Ni 58.69 Ni.upf
B 10.81 B.upf
CELL_PARAMETERS angstrom
0.000 2.875 2.875
2.875 0.000 2.875
2.875 2.875 0.000
ATOMIC_POSITIONS crystal
Hf 0.000 0.000 0.000
Fe 0.750 0.750 0.750
Ni 0.250 0.250 0.250
B 0.500 0.500 0.500
```

Results
As for the volume: 47.5 Å³ per cell. The total magnetization is 0.234 μB/atom. Its crystal system is cubic.

---

Verdict on stability: x comes out at the bottom.

---

w.
TmPdNO: relaxed, PBE-GGA. Values from VASP.

Quantum ESPRESSO input file:
```
&SYSTEM
  ibrav = 0, nat = 8, ntyp = 4
/
ATOMIC_SPECIES
Tm 168.93 Tm.upf
Pd 106.42 Pd.upf
N 14.01 N.upf
O 16.00 O.upf
CELL_PARAMETERS angstrom
4.747 0.000 0.000
0.000 4.747 0.000
0.000 0.000 4.430
ATOMIC_POSITIONS crystal
Tm 0.250 0.750 0.000
Tm 0.750 0.250 0.000
Pd 0.250 0.250 0.499
Pd 0.750 0.750 0.501
N 0.250 0.250 0.998
N 0.750 0.750 0.002
O 0.250 0.750 0.500
O 0.750 0.250 0.500
```

Results
As for the volume: 99.8 Å³ per cell. The total magnetization is 0.000 μB/atom. Its crystal system is tetragonal.

---

x.
TmPdNO: relaxed, PBE-GGA. Values from VASP.

Quantum ESPRESSO input file:
```
&SYSTEM
  ibrav = 0, nat = 8, ntyp = 4
/
ATOMIC_SPECIES
Tm 168.93 Tm.upf
Pd 106.42 Pd.upf
N 14.01 N.upf
O 16.00 O.upf
CELL_PARAMETERS angstrom
4.078 0.000 0.000
0.000 7.000 0.000
0.000 0.000 4.240
ATOMIC_POSITIONS crystal
Tm 0.000 0.187 0.000
Tm 0.000 0.813 0.500
Pd 0.500 0.386 0.498
Pd 0.500 0.614 0.998
N 0.500 0.324 0.998
N 0.500 0.676 0.498
O 0.000 0.125 0.500
O 0.000 0.875 0.000
```

Results
As for the volume: 121.0 Å³ per cell. The total magnetization is 0.000 μB/atom. Its crystal system is orthorhombic.

---

Verdict on stability: w comes out at the bottom.